No. 1
DFT (GGA-PBE) results for a geometry-optimized BaTcCl structure.

Cell: 7.0409 7.0409 7.0409 Å, 150.11 150.11 42.78°
Closest atoms and distances in Å follow each position.
Fractional positions:
Ba: 0.0000 0.0000 0.0000  4 Cl 3.23, 4 Tc 3.54
Tc: 0.6855 0.6855 0.0000  4 Cl 3.36, 4 Ba 3.54, 4 Tc 3.63
Cl: 0.3507 0.3507 0.0000  4 Ba 3.23, 4 Tc 3.36

Results
Formation energy (no corrections)   0.3608 eV per atom
Final energy   -4.351 eV per atom
Volume   28.82 A^3/atom

No. 2
DFT (GGA-PBE) results for a geometry-optimized BaTc2Cl structure.

Cell: 3.0759 5.5943 5.8373 Å, 90.00 90.00 90.00°
Closest atoms and distances in Å follow each position.
Fractional positions:
Ba: 0.0000 0.0000 0.0000  2 Cl 2.80, 2 Ba 3.08
Tc: 0.5000 0.3099 0.5000  1 Tc 2.13
Tc: 0.5000 0.6901 0.5000  1 Tc 2.13
Cl: 0.0000 0.5000 0.0000  2 Ba 2.80, 2 Cl 3.08

Results
Formation energy (no corrections)   0.9048 eV per atom
Final energy   -5.221 eV per atom
Volume   25.11 A^3/atom

No. 3
DFT (GGA-PBE) results for a geometry-optimized BaTcCl structure.

Cell: 4.8348 4.8348 4.8348 Å, 60.00 60.00 60.00°
Closest atoms and distances in Å follow each position.
Fractional positions:
Ba: 0.0000 0.0000 0.0000  4 Tc 2.96
Tc: 0.7500 0.7500 0.7500  4 Ba 2.96, 4 Cl 2.96
Cl: 0.5000 0.5000 0.5000  4 Tc 2.96

Results
Formation energy (no corrections)   0.6637 eV per atom
Final energy   -4.048 eV per atom
Volume   26.64 A^3/atom

No. 4
DFT (GGA-PBE) results for a geometry-optimized BaTcCl structure.

Cell: 5.1543 5.1543 5.1543 Å, 60.00 60.00 60.00°
Closest atoms and distances in Å follow each position.
Fractional positions:
Ba: 0.0000 0.0000 0.0000  4 Cl 3.16
Tc: 0.5000 0.5000 0.5000  4 Cl 3.16
Cl: 0.2500 0.2500 0.2500  4 Tc 3.16, 4 Ba 3.16

Results
Formation energy (no corrections)   0.4860 eV per atom
Final energy   -4.226 eV per atom
Volume   32.28 A^3/atom

No. 5
DFT (GGA-PBE) results for a geometry-optimized Ba2TcCl2 structure.

Cell: 8.8605 8.8605 4.0661 Å, 90.00 90.00 90.00°
Closest atoms and distances in Å follow each position.
Fractional positions:
Ba: 0.1802 0.3198 0.0000  6 Cl 3.16-3.43, 2 Tc 3.25
Ba: 0.3198 0.8198 0.0000  6 Cl 3.16-3.43, 2 Tc 3.25
Ba: 0.6802 0.1802 0.0000  6 Cl 3.16-3.43, 2 Tc 3.25
Ba: 0.8198 0.6802 0.0000  6 Cl 3.16-3.43, 2 Tc 3.25
Tc: 0.0000 0.0000 0.0000  4 Ba 3.25
Tc: 0.5000 0.5000 0.0000  4 Ba 3.25
Cl: 0.1270 0.6270 0.5000  6 Ba 3.16-3.43, 1 Cl 3.18
Cl: 0.3730 0.1270 0.5000  6 Ba 3.16-3.43, 1 Cl 3.18
Cl: 0.6270 0.8730 0.5000  6 Ba 3.16-3.43, 1 Cl 3.18
Cl: 0.8730 0.3730 0.5000  6 Ba 3.16-3.43, 1 Cl 3.18

Results
Formation energy (no corrections)   -0.5580 eV per atom
Final energy   -4.139 eV per atom
Volume   31.92 A^3/atom

No. 6
DFT (GGA-PBE) results for a geometry-optimized Ba2TcCl structure.

Cell: 7.4605 7.4605 7.4605 Å, 114.09 114.09 100.57°
Closest atoms and distances in Å follow each position.
Fractional positions:
Ba: 0.1205 0.6250 0.9955  2 Tc 3.08, 2 Cl 3.13
Ba: 0.3750 0.3705 0.4955  2 Tc 3.08, 2 Cl 3.13
Ba: 0.6295 0.1250 0.0045  2 Tc 3.08, 2 Cl 3.13
Ba: 0.8750 0.8795 0.5045  2 Tc 3.08, 2 Cl 3.13
Tc: 0.0000 0.0000 0.0000  4 Ba 3.08
Tc: 0.7500 0.2500 0.5000  4 Ba 3.08
Cl: 0.2500 0.7500 0.5000  4 Ba 3.13
Cl: 0.5000 0.5000 0.0000  4 Ba 3.13

Results
Formation energy (no corrections)   0.0101 eV per atom
Final energy   -4.004 eV per atom
Volume   39.25 A^3/atom

No. 7
DFT (GGA-PBE) results for a geometry-optimized Ba2TcCl structure.

Cell: 3.8076 5.2972 6.2889 Å, 90.00 90.00 90.00°
Closest atoms and distances in Å follow each position.
Fractional positions:
Ba: 0.0000 0.0000 0.0000  2 Tc 3.14, 4 Cl 3.26
Ba: 0.5000 0.5000 0.5000  2 Cl 3.14, 4 Tc 3.26
Tc: 0.0000 0.0000 0.5000  6 Ba 3.14-3.26
Cl: 0.5000 0.5000 0.0000  6 Ba 3.14-3.26

Results
Formation energy (no corrections)   -0.2280 eV per atom
Final energy   -4.243 eV per atom
Volume   31.71 A^3/atom

No. 8
DFT (GGA-PBE) results for a geometry-optimized BaTc2Cl structure.

Cell: 9.0029 9.0029 9.0029 Å, 148.50 148.50 45.14°
Closest atoms and distances in Å follow each position.
Fractional positions:
Ba: 0.0000 0.0000 0.0000  8 Tc 3.37-3.50, 4 Cl 3.46
Ba: 0.7500 0.2500 0.5000  8 Tc 3.37-3.50, 4 Cl 3.46
Tc: 0.3570 0.1250 0.7320  2 Cl 2.41, 2 Tc 2.45
Tc: 0.3750 0.6430 0.7680  2 Cl 2.41, 2 Tc 2.45
Tc: 0.3930 0.6250 0.2680  2 Cl 2.41, 2 Tc 2.45
Tc: 0.8750 0.6070 0.2320  2 Cl 2.41, 2 Tc 2.45
Cl: 0.2500 0.7500 0.5000  4 Tc 2.41
Cl: 0.5000 0.5000 0.0000  4 Tc 2.41

Results
Formation energy (no corrections)   0.5553 eV per atom
Final energy   -5.570 eV per atom
Volume   24.82 A^3/atom